Below is BaZn3Ga after structural relaxation, with properties calculated at the PBE level.

abc: 6.0980 6.0980 6.0980
angles: 90.00 90.00 90.00
Last column: nearest neighbours and their distance in Å.
Space group Pm-3m (No. 221)
Asymmetric unit:
1 Ba 0.0000 0.0000 0.0000  6 Zn 3.05
2 Zn 0.0000 0.0000 0.5000  2 Ba 3.05
3 Ga 0.5000 0.5000 0.5000  12 Zn 4.31

Properties
VASP energy = -0.8372 eV per atom
Polymorph energy (0 for the lowest one) = 1171.7 meV/atom
Magnetic moment = 0.000 μB per formula unit
ΔE_f = 0.917 eV/atom
Volume = 45.4 Å³/atom